No. 1
First-principles (PBE-GGA) data for an optimized crystal structure of CdPd17, as listed in OQMD via LeMat-Bulk.

The structure in POSCAR format:
```
CdPd17
1.0
5.563 0.000 0.000
-2.781 4.817 0.000
0.000 0.000 33.553
Cd Pd
2 34
direct
0.333 0.667 0.280
0.667 0.333 0.720
0.000 0.000 0.000
0.000 0.000 0.204
0.000 0.000 0.796
0.000 0.500 0.000
0.001 0.501 0.205
0.166 0.332 0.728
0.166 0.834 0.728
0.167 0.333 0.932
0.167 0.334 0.136
0.167 0.833 0.136
0.167 0.833 0.932
0.332 0.166 0.272
0.333 0.167 0.068
0.333 0.667 0.068
0.333 0.667 0.864
0.334 0.167 0.864
0.499 0.501 0.205
0.499 0.999 0.205
0.500 0.000 0.000
0.500 0.500 0.000
0.501 0.001 0.795
0.501 0.499 0.795
0.666 0.833 0.136
0.667 0.333 0.136
0.667 0.333 0.932
0.667 0.833 0.932
0.668 0.834 0.728
0.833 0.167 0.068
0.833 0.167 0.864
0.833 0.666 0.864
0.833 0.667 0.068
0.834 0.166 0.272
0.834 0.668 0.272
0.999 0.499 0.795
```

Summary:
The mass density comes out at 7.10 g/cm3. The formation energy comes out at 0.94 kcal/mol of atoms. The calculation puts the uncorrected energy at -4.90 eV/atom.

No. 2
First-principles (PBE-GGA) data for an optimized crystal structure of CdPd2, as listed in OQMD via LeMat-Bulk.

The structure in POSCAR format:
```
CdPd2
1.0
0.000 3.749 3.749
3.749 0.000 3.749
3.749 3.749 0.000
Cd Pd
2 4
direct
0.125 0.125 0.125
0.875 0.875 0.875
0.000 0.500 0.500
0.500 0.000 0.500
0.500 0.500 0.000
0.500 0.500 0.500
```

Summary:
The mass density comes out at 10.25 g/cm3. The formation energy comes out at -3.97 kcal/mol of atoms. The calculation puts the uncorrected energy at -3.92 eV/atom.

No. 3
First-principles (PBE-GGA) data for an optimized crystal structure of CdPd9, as listed in OQMD via LeMat-Bulk.

The structure in POSCAR format:
```
CdPd9
1.0
2.853 0.000 0.000
0.000 2.853 0.000
0.000 0.000 50.545
Cd Pd
2 18
direct
0.250 0.250 0.140
0.750 0.750 0.860
0.250 0.250 0.218
0.250 0.250 0.294
0.250 0.250 0.369
0.250 0.250 0.444
0.250 0.250 0.519
0.250 0.250 0.593
0.250 0.250 0.668
0.250 0.250 0.743
0.250 0.250 0.821
0.750 0.750 0.179
0.750 0.750 0.257
0.750 0.750 0.332
0.750 0.750 0.407
0.750 0.750 0.481
0.750 0.750 0.556
0.750 0.750 0.631
0.750 0.750 0.706
0.750 0.750 0.782
```

Summary:
The mass density comes out at 8.64 g/cm3. The formation energy comes out at -0.27 kcal/mol of atoms. The calculation puts the uncorrected energy at -4.76 eV/atom.

No. 4
First-principles (PBE-GGA) data for an optimized crystal structure of CdPd15, as listed in OQMD via LeMat-Bulk.

The structure in POSCAR format:
```
CdPd15
1.0
4.808 0.000 0.000
0.000 36.347 0.000
-1.572 0.000 4.544
Cd Pd
2 30
direct
0.000 0.207 0.250
0.000 0.793 0.750
0.000 0.248 0.750
0.000 0.288 0.250
0.000 0.327 0.750
0.000 0.365 0.250
0.000 0.404 0.750
0.000 0.442 0.250
0.000 0.481 0.750
0.000 0.519 0.250
0.000 0.558 0.750
0.000 0.596 0.250
0.000 0.635 0.750
0.000 0.673 0.250
0.000 0.712 0.750
0.000 0.752 0.250
0.500 0.212 0.750
0.500 0.248 0.250
0.500 0.288 0.750
0.500 0.327 0.250
0.500 0.365 0.750
0.500 0.404 0.250
0.500 0.442 0.750
0.500 0.481 0.250
0.500 0.519 0.750
0.500 0.558 0.250
0.500 0.596 0.750
0.500 0.635 0.250
0.500 0.673 0.750
0.500 0.712 0.250
0.500 0.752 0.750
0.500 0.788 0.250
```

Summary:
The mass density comes out at 7.15 g/cm3. The formation energy comes out at 0.75 kcal/mol of atoms. The calculation puts the uncorrected energy at -4.88 eV/atom.

No. 5
First-principles (PBE-GGA) data for an optimized crystal structure of CdPd15, as listed in OQMD via LeMat-Bulk.

The structure in POSCAR format:
```
CdPd15
1.0
7.829 0.000 0.000
0.000 2.795 0.000
-0.013 0.000 36.258
Cd Pd
2 30
direct
0.125 0.250 0.293
0.875 0.750 0.707
0.121 0.250 0.826
0.122 0.250 0.747
0.125 0.250 0.057
0.125 0.250 0.135
0.125 0.250 0.213
0.125 0.250 0.904
0.126 0.250 0.981
0.371 0.750 0.174
0.372 0.750 0.253
0.375 0.750 0.096
0.375 0.750 0.713
0.375 0.750 0.788
0.375 0.750 0.864
0.375 0.750 0.942
0.376 0.750 0.019
0.624 0.250 0.981
0.625 0.250 0.058
0.625 0.250 0.136
0.625 0.250 0.212
0.625 0.250 0.287
0.625 0.250 0.904
0.628 0.250 0.747
0.629 0.250 0.826
0.874 0.750 0.019
0.875 0.750 0.096
0.875 0.750 0.787
0.875 0.750 0.865
0.875 0.750 0.943
0.878 0.750 0.253
0.879 0.750 0.174
```

Summary:
The mass density comes out at 7.15 g/cm3. The formation energy comes out at 1.18 kcal/mol of atoms. The calculation puts the uncorrected energy at -4.86 eV/atom.

No. 6
First-principles (PBE-GGA) data for an optimized crystal structure of Cd2Pd9, as listed in OQMD via LeMat-Bulk.

The structure in POSCAR format:
```
Cd2Pd9
1.0
2.835 0.000 0.000
-1.417 2.455 0.000
0.000 0.000 35.887
Cd Pd
2 9
direct
0.333 0.667 0.317
0.667 0.333 0.683
0.000 0.000 0.000
0.000 0.000 0.188
0.000 0.000 0.812
0.333 0.667 0.125
0.333 0.667 0.749
0.333 0.667 0.937
0.667 0.333 0.063
0.667 0.333 0.251
0.667 0.333 0.875
```

Summary:
The mass density comes out at 7.86 g/cm3. The formation energy comes out at -0.09 kcal/mol of atoms. The calculation puts the uncorrected energy at -4.40 eV/atom.